Compound: AcCrPO5
Source: Alexandria
Functional: PBE+U
Structure: optimized geometry

The structure in POSCAR format:
```
AcCrPO5
1.0
5.596 -0.181 0.119
-1.807 5.300 0.119
-1.437 -1.941 8.282
O P Ac Cr
10 2 2 2
Direct
0.968 0.364 0.204 O
0.032 0.636 0.796 O
0.701 0.511 0.394 O
0.887 0.113 0.750 O
0.511 0.701 0.894 O
0.636 0.032 0.296 O
0.489 0.299 0.106 O
0.113 0.887 0.250 O
0.364 0.968 0.704 O
0.299 0.489 0.606 O
0.691 0.309 0.250 P
0.309 0.691 0.750 P
0.000 0.000 0.000 Ac
0.000 0.000 0.500 Ac
0.679 0.321 0.750 Cr
0.321 0.679 0.250 Cr
```

Values from the calculation:
**Calculated total energy**: -122.8 eV for the cell shown
**M_tot**: 4.000 μB/f.u.